The following is a GGA-PBE calculation of a geometry-optimized Co2TeCl structure, from the Alexandria database.

Values from the calculation:
**SG**: C2/m, No. 12
**E above lowest polymorph**: 367 meV/atom
**Crystal system**: monoclinic
**Mass density**: 6.80 Mg/m³

a = 6.260 Å, b = 3.604 Å, c = 6.434 Å
α = 90.00°, β = 109.13°, γ = 90.00°
Fractional coordinates of all 8 atoms:
Co 0.243 0.000 0.227
Co 0.257 0.500 0.773
Co 0.743 0.500 0.227
Co 0.757 0.000 0.773
Te 0.000 0.500 0.000
Te 0.500 0.000 0.000
Cl 0.000 0.000 0.500
Cl 0.500 0.500 0.500